Computed, not measured: an optimized crystal structure of CaSbCl2 at the PBE level of DFT.

The structure in extended XYZ format:
```
4
Lattice="4.890 0.000 0.000 0.000 4.660 0.000 -0.037 0.000 4.905" Properties=species:S:1:pos:R:3 pbc="T T T"
Ca 0.000 0.000 0.000
Sb 2.426 0.000 2.453
Cl 1.187 2.330 3.686
Cl 3.666 2.330 1.219
```

* formation energy from raw total energies: -1045 meV/atom
* final energy: -3.499 eV/atom
* relative energy among the computed polymorphs: 312 meV/atom



Computed, not measured: an optimized crystal structure of CaSb2Cl2 at the PBE level of DFT.

The structure in extended XYZ format:
```
10
Lattice="7.038 0.000 0.000 0.000 7.038 0.000 0.000 0.000 8.016" Properties=species:S:1:pos:R:3 pbc="T T T"
Ca 0.000 0.000 0.000
Ca 3.519 3.519 0.000
Sb 0.937 2.582 4.008
Sb 2.582 6.101 4.008
Sb 4.455 0.937 4.008
Sb 6.101 4.455 4.008
Cl 1.231 4.749 0.000
Cl 2.288 1.231 0.000
Cl 4.749 5.807 0.000
Cl 5.807 2.288 0.000
```

* formation energy from raw total energies: -804 meV/atom
* final energy: -3.592 eV/atom
* relative energy among the computed polymorphs: 92 meV/atom



Computed, not measured: an optimized crystal structure of CaSb2Cl8 at the PBE level of DFT.

The structure in extended XYZ format:
```
11
Lattice="4.259 0.000 0.000 -0.120 9.602 0.000 -0.936 -0.276 9.587" Properties=species:S:1:pos:R:3 pbc="T T T"
Ca 0.000 0.000 0.000
Sb 1.554 7.013 2.889
Sb 1.649 2.313 6.698
Cl 0.020 5.391 2.000
Cl 0.048 9.032 2.777
Cl 0.893 6.639 5.162
Cl 1.051 7.561 9.555
Cl 2.152 1.765 0.032
Cl 2.310 2.687 4.425
Cl 3.156 0.294 6.810
Cl 3.183 3.935 7.587
```

* formation energy from raw total energies: -1253 meV/atom
* final energy: -3.528 eV/atom



Computed, not measured: an optimized crystal structure of CaSbCl2 at the PBE level of DFT.

The structure in extended XYZ format:
```
4
Lattice="3.281 -4.194 0.000 3.281 4.194 0.000 0.000 0.000 3.691" Properties=species:S:1:pos:R:3 pbc="T T T"
Ca 0.000 0.000 0.000
Sb 3.281 0.000 0.000
Cl 1.640 2.097 1.846
Cl 1.640 -2.097 1.846
```

* formation energy from raw total energies: -804 meV/atom
* final energy: -3.258 eV/atom
* relative energy among the computed polymorphs: 553 meV/atom



Computed, not measured: an optimized crystal structure of CaSbCl2 at the PBE level of DFT.

The structure in extended XYZ format:
```
4
Lattice="-1.731 3.193 4.733 1.731 -3.193 4.733 1.731 3.193 -4.733" Properties=species:S:1:pos:R:3 pbc="T T T"
Ca 0.000 0.000 0.000
Sb 0.000 0.000 4.733
Cl 1.731 0.000 2.138
Cl 0.000 3.193 2.595
```

* formation energy from raw total energies: -1124 meV/atom
* final energy: -3.578 eV/atom
* relative energy among the computed polymorphs: 233 meV/atom



Computed, not measured: an optimized crystal structure of CaSbCl4 at the PBE level of DFT.

The structure in extended XYZ format:
```
6
Lattice="0.000 4.235 4.235 4.235 0.000 4.235 4.235 4.235 0.000" Properties=species:S:1:pos:R:3 pbc="T T T"
Ca 0.000 0.000 0.000
Sb 2.118 2.118 2.118
Cl 5.298 3.173 3.173
Cl 3.173 5.298 3.173
Cl 3.173 3.173 5.298
Cl 5.298 5.298 5.298
```

* formation energy from raw total energies: -165 meV/atom
* final energy: -2.417 eV/atom



Computed, not measured: an optimized crystal structure of CaSb2Cl2 at the PBE level of DFT.

The structure in extended XYZ format:
```
5
Lattice="-1.987 1.987 11.857 1.987 -1.987 11.857 1.987 1.987 -11.857" Properties=species:S:1:pos:R:3 pbc="T T T"
Ca 0.000 0.000 0.000
Sb 1.987 0.000 5.929
Sb 0.000 1.987 5.929
Cl 0.000 0.000 10.326
Cl 0.000 0.000 13.388
```

* formation energy from raw total energies: -896 meV/atom
* final energy: -3.684 eV/atom
* relative energy among the computed polymorphs: 0 meV/atom



Computed, not measured: an optimized crystal structure of CaSbCl2 at the PBE level of DFT.

The structure in extended XYZ format:
```
4
Lattice="5.358 -1.794 0.000 5.358 1.794 0.000 -1.664 0.000 5.792" Properties=species:S:1:pos:R:3 pbc="T T T"
Ca 0.000 0.000 0.000
Sb 6.764 0.000 2.506
Cl 3.331 0.000 0.338
Cl 4.578 0.000 3.867
```

* formation energy from raw total energies: -1249 meV/atom
* final energy: -3.704 eV/atom
* relative energy among the computed polymorphs: 107 meV/atom



Look up the final energy of the first one.
-3.499 eV/atom



Which of these has the lowest final energy?
number 8